1.
{
  "formula": "Li2GeIrO4",
  "functional": "PBE",
  "state": "optimized geometry",
  "lattice": [[-4.1417, -1.7495, -3.1640], [-3.9603, -2.3455, 1.7042], [-3.7941, 2.8012, -1.3592]],
  "species": ["Li", "Li", "Ge", "Ir", "O", "O", "O", "O"],
  "frac_coords": [[0.0000, 0.2499, 0.7501], [0.0000, 0.7500, 0.2500], [0.5000, 0.5000, 0.5000], [0.5000, 0.0000, 0.0000], [0.1703, 0.8789, 0.4509], [0.8297, 0.5491, 0.1211], [0.4999, 0.4509, 0.8788], [0.5001, 0.1212, 0.5491]]
}



2.
{
  "formula": "LaCo3Bi",
  "functional": "PBE",
  "state": "optimized geometry",
  "lattice": [[-1.1801, -2.4911, 3.9585], [-2.5024, -3.1128, -2.7049], [3.9514, -2.7154, -0.5308]],
  "species": ["Co", "Co", "Co", "Bi", "La"],
  "frac_coords": [[0.0000, 0.5000, 0.0000], [0.0000, 0.0000, 0.5000], [0.5000, 0.0000, 0.0000], [0.0000, 0.0000, 0.0000], [0.5000, 0.5000, 0.5000]],
  "relative_energy_mev_per_atom": 0.0,
  "formation_enthalpy_0k_mev_per_atom": 727.1
}



3.
{
  "formula": "GaCSe2Cl",
  "functional": "PBE",
  "state": "optimized geometry",
  "lattice": [[-1.9071, 3.4271, 1.5462], [-2.9165, -3.6623, 4.5201], [3.2506, 0.6317, 2.6092]],
  "species": ["C", "Ga", "Se", "Se", "Cl"],
  "frac_coords": [[0.0000, 0.0000, 0.0000], [0.0000, 0.5000, 0.0000], [0.0000, 0.0000, 0.5000], [0.5000, 0.0000, 0.0000], [0.5000, 0.5000, 0.5000]]
}



4.
{
  "formula": "Co2AgPdN",
  "functional": "PBE",
  "state": "optimized geometry",
  "lattice": [[3.8252, 0.0000, 0.0000], [0.0000, 3.8252, 0.0000], [0.0000, 0.0000, 4.2693]],
  "species": ["Co", "Co", "Pd", "Ag", "N"],
  "frac_coords": [[0.0000, 0.5000, 0.0000], [0.5000, 0.0000, 0.0000], [0.0000, 0.0000, 0.5000], [0.5000, 0.5000, 0.5000], [0.0000, 0.0000, 0.0000]]
}



| no. | N(E_F) (states/eV per atom) | E (Ha/atom) |
| --- | --- | --- |
| 1 | 0.32 | -0.210 |
| 2 | 0.53 | -0.195 |
| 3 | 0.48 | -0.128 |
| 4 | 1.35 | -0.218 |